# 1
Entry from the Alexandria database: a relaxed LiInCu2S4 crystal (PBE).

Values from the calculation:
The electronic total energy is -4.150 eV/atom. The value obtained for the density of states at the Fermi level is 7.35 states/eV/f.u. The value obtained for the magnetic moment is 0.0 μB per formula unit.

Geometry as POSCAR:
```
LiInCu2S4
1.0
5.3610 0.2234 -0.0009
-0.2221 5.3611 -0.0009
-2.5704 -2.7932 5.6362
Li In Cu S
1 1 2 4
Direct
0.5000 0.5000 0.9999
0.0001 0.0001 0.0002
0.7500 0.2500 0.5001
0.2500 0.7500 0.5001
0.6053 0.6053 0.7269
0.3949 0.8783 0.2733
0.8783 0.3949 0.2733
0.1216 0.1216 0.7269
```

# 2
Entry from the Alexandria database: a relaxed Mn4I crystal (PBE).

Values from the calculation:
The electronic total energy is -6.118 eV/atom. The value obtained for the density of states at the Fermi level is 4.06 states/eV/f.u. The value obtained for the magnetic moment is 13.7 μB per formula unit.

Geometry as POSCAR:
```
Mn4I
1.0
4.7897 0.0000 0.0000
0.0000 4.7897 0.0000
0.0000 0.0000 4.7897
I Mn
1 4
Direct
0.5000 0.5000 0.5000
0.0000 0.0000 0.0000
0.5000 0.0000 0.5000
0.0000 0.5000 0.5000
0.5000 0.5000 0.0000
```

# 3
Entry from the Alexandria database: a relaxed FeSb4Mo crystal (PBE).

Values from the calculation:
The electronic total energy is -4.717 eV/atom. The value obtained for the density of states at the Fermi level is 8.50 states/eV/f.u. The value obtained for the magnetic moment is 6.9 μB per formula unit.

Geometry as POSCAR:
```
FeSb4Mo
1.0
-4.5528 -3.8983 0.9529
-5.6666 2.0617 0.6867
-4.1275 -0.9654 -4.3433
Fe Sb Mo
1 4 1
Direct
0.7500 0.7500 0.7500
0.8737 0.3754 0.3754
0.3754 0.3754 0.8737
0.3754 0.8737 0.3754
0.3754 0.3754 0.3754
0.0000 0.0000 0.0000
```

Number 1: formation energy without anion corrections -11.1 kcal/mol of atoms. Number 2: formation energy without anion corrections 35.2 kcal/mol of atoms. Number 3: formation energy without anion corrections 28.8 kcal/mol of atoms.